First-principles (GGA-PBE) data for Na2Ca4O after structural relaxation, as listed in Alexandria.

## Properties
E_tot   -40.03 eV/cell
Uncorrected formation energy   -630 meV per atom

Cell lengths 4.9224, 4.9224, 18.6086 Å; angles 90.00, 90.00, 90.00 degrees
With the nearest neighbours (Å) after each atom.
Space group I4/mmm (No. 139)
Inequivalent atoms, fractional coordinates:
Na  0.0000  0.0000  0.1679  5 Ca 3.53-3.64
Ca  0.0000  0.0000  0.3633  1 O 2.54
Ca  0.0000  0.5000  0.0000  2 O 2.46
O  0.0000  0.0000  0.5000  6 Ca 2.46-2.54